Crystalline La2GaBi4 at its relaxed geometry. Source: Alexandria via LeMat-Bulk, functional GGA-PBE.

Computed properties:
E (eV/atom): -4.62
Calculated volume (Å³/atom): 32.68
Size of the total moment (μB per atom): 0.000
Energy relative to the elements (kJ/mol of formula units): -378

```
data_La2GaBi4
_space_group_name_H-M_alt 'C 1 2/m 1'
_space_group_IT_number 12
_cell_length_a 9.567
_cell_length_b 9.839
_cell_length_c 6.811
_cell_angle_alpha 90.00
_cell_angle_beta 134.46
_cell_angle_gamma 90.00
loop_
_space_group_symop_operation_xyz
'x,y,z'
'-x,-y,-z'
'-x,y,-z'
'x,-y,z'
'x+1/2,y+1/2,z'
'-x+1/2,-y+1/2,-z'
'-x+1/2,y+1/2,-z'
'x+1/2,-y+1/2,z'
loop_
_atom_site_label
_atom_site_fract_x
_atom_site_fract_y
_atom_site_fract_z
_atom_site_occupancy
La1 0.250 0.250 0.000 1
Ga1 0.000 0.000 0.500 1
Bi1 0.000 0.000 0.000 1
Bi2 0.000 0.500 0.000 1
Bi3 0.250 0.250 0.500 1
```

---

Crystalline La4PtCl at its relaxed geometry. Source: Alexandria via LeMat-Bulk, functional GGA-PBE.

Computed properties:
E (eV/atom): -4.50
Calculated volume (Å³/atom): 29.06
Size of the total moment (μB per atom): 0.000

```
data_La4PtCl
_space_group_name_H-M_alt 'F -4 3 m'
_space_group_IT_number 216
_space_group_name_Hall 'F -4 2 3'
_cell_length_a 8.868
_cell_length_b 8.868
_cell_length_c 8.868
_cell_angle_alpha 90.00
_cell_angle_beta 90.00
_cell_angle_gamma 90.00
loop_
_atom_site_label
_atom_site_fract_x
_atom_site_fract_y
_atom_site_fract_z
_atom_site_occupancy
La1 0.125 0.125 0.125 1
Pt1 0.250 0.250 0.750 1
Cl1 0.000 0.000 0.500 1
```

---

Crystalline Dy4HoMg2 at its relaxed geometry. Source: Alexandria via LeMat-Bulk, functional GGA-PBE.

Computed properties:
E (eV/atom): -3.76
Calculated volume (Å³/atom): 29.02
Size of the total moment (μB per atom): 0.000
Energy relative to the elements (kJ/mol of formula units): -13

```
data_Dy4HoMg2
_space_group_name_H-M_alt 'R -3 m'
_space_group_IT_number 166
_space_group_name_Hall '-R 3 2"'
_cell_length_a 5.4243
_cell_length_b 5.4243
_cell_length_c 23.9207
_cell_angle_alpha 90.00
_cell_angle_beta 90.00
_cell_angle_gamma 120.00
loop_
_atom_site_label
_atom_site_fract_x
_atom_site_fract_y
_atom_site_fract_z
_atom_site_occupancy
Dy1 0.0000 0.0000 0.0733 1
Dy2 0.0000 0.0000 0.3453 1
Ho1 0.0000 0.0000 0.5000 1
Mg1 0.0000 0.0000 0.2107 1
```

---

Crystalline LaTa2P at its relaxed geometry. Source: Alexandria via LeMat-Bulk, functional GGA-PBE.

Computed properties:
E (eV/atom): -8.34
Calculated volume (Å³/atom): 20.49
Size of the total moment (μB per atom): 0.000
Energy relative to the elements (kJ/mol of formula units): 64

```
data_LaTa2P
_space_group_name_H-M_alt 'C 1 2/m 1'
_space_group_IT_number 12
_cell_length_a 5.823
_cell_length_b 9.792
_cell_length_c 3.625
_cell_angle_alpha 90.00
_cell_angle_beta 127.52
_cell_angle_gamma 90.00
loop_
_space_group_symop_operation_xyz
'x,y,z'
'-x,-y,-z'
'-x,y,-z'
'x,-y,z'
'x+1/2,y+1/2,z'
'-x+1/2,-y+1/2,-z'
'-x+1/2,y+1/2,-z'
'x+1/2,-y+1/2,z'
loop_
_atom_site_label
_atom_site_fract_x
_atom_site_fract_y
_atom_site_fract_z
_atom_site_occupancy
La1 0.000 0.000 0.000 1
Ta1 0.250 0.250 0.500 1
P1 0.000 0.500 0.000 1
```

---

Crystalline MoPRu at its relaxed geometry. Source: Alexandria via LeMat-Bulk, functional GGA-PBE.

Computed properties:
E (eV/atom): -9.04
Calculated volume (Å³/atom): 13.70
Size of the total moment (μB per atom): 0.000
Energy relative to the elements (kJ/mol of formula units): -154

```
data_MoPRu
_space_group_name_H-M_alt 'P n m a'
_space_group_IT_number 62
_cell_length_a 6.021
_cell_length_b 3.911
_cell_length_c 6.985
_cell_angle_alpha 90.00
_cell_angle_beta 90.00
_cell_angle_gamma 90.00
loop_
_space_group_symop_operation_xyz
'x,y,z'
'-x,-y,-z'
'-x+1/2,-y,z+1/2'
'x+1/2,y,-z+1/2'
'x+1/2,-y+1/2,-z+1/2'
'-x+1/2,y+1/2,z+1/2'
'-x,y+1/2,-z'
'x,-y+1/2,z'
loop_
_atom_site_label
_atom_site_fract_x
_atom_site_fract_y
_atom_site_fract_z
_atom_site_occupancy
Mo1 0.025 0.250 0.170 1
P1 0.246 0.750 0.384 1
Ru1 0.140 0.250 0.569 1
```

---

Crystalline AcDy2N at its relaxed geometry. Source: Alexandria via LeMat-Bulk, functional GGA-PBE.

Computed properties:
E (eV/atom): -5.45
Calculated volume (Å³/atom): 24.11
Size of the total moment (μB per atom): 0.000

```
data_AcDy2N
_space_group_name_H-M_alt 'P 4/m m m'
_space_group_IT_number 123
_space_group_name_Hall '-P 4 2'
_cell_length_a 3.288
_cell_length_b 3.288
_cell_length_c 8.924
_cell_angle_alpha 90.00
_cell_angle_beta 90.00
_cell_angle_gamma 90.00
loop_
_atom_site_label
_atom_site_fract_x
_atom_site_fract_y
_atom_site_fract_z
_atom_site_occupancy
Ac1 0.000 0.000 0.000 1
Dy1 0.500 0.500 0.342 1
N1 0.000 0.000 0.500 1
```

---

Crystalline PrYIn at its relaxed geometry. Source: Alexandria via LeMat-Bulk, functional GGA-PBE.

Computed properties:
E (eV/atom): -4.78
Calculated volume (Å³/atom): 32.18
Size of the total moment (μB per atom): 0.158
Energy relative to the elements (kJ/mol of formula units): -35

```
data_PrYIn
_space_group_name_H-M_alt 'P 4/n m m'
_space_group_IT_number 129
_cell_length_a 4.915
_cell_length_b 4.915
_cell_length_c 7.994
_cell_angle_alpha 90.00
_cell_angle_beta 90.00
_cell_angle_gamma 90.00
loop_
_space_group_symop_operation_xyz
'x,y,z'
'-x,-y,-z'
'-y+1/2,x,z'
'y+1/2,-x,-z'
'-x+1/2,-y+1/2,z'
'x+1/2,y+1/2,-z'
'y,-x+1/2,z'
'-y,x+1/2,-z'
'x+1/2,-y,-z'
'-x+1/2,y,z'
'-y,-x,-z'
'y,x,z'
'-x,y+1/2,-z'
'x,-y+1/2,z'
'y+1/2,x+1/2,-z'
'-y+1/2,-x+1/2,z'
loop_
_atom_site_label
_atom_site_fract_x
_atom_site_fract_y
_atom_site_fract_z
_atom_site_occupancy
Pr1 0.250 0.250 0.211 1
Y1 0.250 0.250 0.759 1
In1 0.250 0.750 0.500 1
```

---

Crystalline K3Tl4Te4 at its relaxed geometry. Source: Alexandria via LeMat-Bulk, functional GGA-PBE.

Computed properties:
E (eV/atom): -2.89
Calculated volume (Å³/atom): 38.48
Size of the total moment (μB per atom): 0.000

```
data_K3Tl4Te4
_space_group_name_H-M_alt 'I m m m'
_space_group_IT_number 71
_space_group_name_Hall '-I 2 2'
_cell_length_a 4.869
_cell_length_b 10.280
_cell_length_c 16.912
_cell_angle_alpha 90.00
_cell_angle_beta 90.00
_cell_angle_gamma 90.00
loop_
_atom_site_label
_atom_site_fract_x
_atom_site_fract_y
_atom_site_fract_z
_atom_site_occupancy
K1 0.000 0.000 0.000 1
K2 0.000 0.500 0.107 1
Tl1 0.000 0.302 0.324 1
Te1 0.000 0.000 0.222 1
Te2 0.000 0.227 0.500 1
```

---

Crystalline Dy6InSe3S2 at its relaxed geometry. Source: Alexandria via LeMat-Bulk, functional GGA-PBE.

Computed properties:
E (eV/atom): -5.66
Calculated volume (Å³/atom): 24.01
Size of the total moment (μB per atom): 0.000

```
data_Dy6InSe3S2
_space_group_name_H-M_alt 'C 1 2/m 1'
_space_group_IT_number 12
_cell_length_a 17.876
_cell_length_b 3.981
_cell_length_c 8.346
_cell_angle_alpha 90.00
_cell_angle_beta 104.02
_cell_angle_gamma 90.00
loop_
_space_group_symop_operation_xyz
'x,y,z'
'-x,-y,-z'
'-x,y,-z'
'x,-y,z'
'x+1/2,y+1/2,z'
'-x+1/2,-y+1/2,-z'
'-x+1/2,y+1/2,-z'
'x+1/2,-y+1/2,z'
loop_
_atom_site_label
_atom_site_fract_x
_atom_site_fract_y
_atom_site_fract_z
_atom_site_occupancy
Dy1 0.006 0.000 0.264 1
Dy2 0.170 0.500 0.101 1
Dy3 0.171 0.500 0.572 1
In1 0.000 0.500 0.000 1
Se1 0.000 0.500 0.500 1
Se2 0.165 0.000 0.830 1
S1 0.170 0.000 0.338 1
```

---

Crystalline FeBi2Pd2 at its relaxed geometry. Source: Alexandria via LeMat-Bulk, functional GGA-PBE.

Computed properties:
E (eV/atom): -5.23
Calculated volume (Å³/atom): 20.85
Size of the total moment (μB per atom): 0.677
Energy relative to the elements (kJ/mol of formula units): 45

```
data_FeBi2Pd2
_space_group_name_H-M_alt 'P 4/m b m'
_space_group_IT_number 127
_space_group_name_Hall '-P 4 2ab'
_cell_length_a 7.052
_cell_length_b 7.052
_cell_length_c 4.192
_cell_angle_alpha 90.00
_cell_angle_beta 90.00
_cell_angle_gamma 90.00
loop_
_atom_site_label
_atom_site_fract_x
_atom_site_fract_y
_atom_site_fract_z
_atom_site_occupancy
Fe1 0.000 0.000 0.000 1
Bi1 0.170 0.330 0.500 1
Pd1 0.140 0.640 0.000 1
```

---

Crystalline PuCuAsN at its relaxed geometry. Source: Alexandria via LeMat-Bulk, functional GGA-PBE.

Computed properties:
E (eV/atom): -8.62
Calculated volume (Å³/atom): 15.49
Size of the total moment (μB per atom): 0.904

```
data_PuCuAsN
_space_group_name_H-M_alt 'P 4/n m m'
_space_group_IT_number 129
_cell_length_a 3.877
_cell_length_b 3.877
_cell_length_c 8.244
_cell_angle_alpha 90.00
_cell_angle_beta 90.00
_cell_angle_gamma 90.00
loop_
_space_group_symop_operation_xyz
'x,y,z'
'-x,-y,-z'
'-y+1/2,x,z'
'y+1/2,-x,-z'
'-x+1/2,-y+1/2,z'
'x+1/2,y+1/2,-z'
'y,-x+1/2,z'
'-y,x+1/2,-z'
'x+1/2,-y,-z'
'-x+1/2,y,z'
'-y,-x,-z'
'y,x,z'
'-x,y+1/2,-z'
'x,-y+1/2,z'
'y+1/2,x+1/2,-z'
'-y+1/2,-x+1/2,z'
loop_
_atom_site_label
_atom_site_fract_x
_atom_site_fract_y
_atom_site_fract_z
_atom_site_occupancy
Pu1 0.250 0.250 0.136 1
Cu1 0.250 0.750 0.500 1
As1 0.250 0.250 0.683 1
N1 0.250 0.750 0.000 1
```

---

Crystalline ScReHg2 at its relaxed geometry. Source: Alexandria via LeMat-Bulk, functional GGA-PBE.

Computed properties:
E (eV/atom): -4.53
Calculated volume (Å³/atom): 19.35
Size of the total moment (μB per atom): 0.000
Energy relative to the elements (kJ/mol of formula units): 122

```
data_ScReHg2
_space_group_name_H-M_alt 'C 1 2/m 1'
_space_group_IT_number 12
_cell_length_a 9.936
_cell_length_b 3.049
_cell_length_c 5.192
_cell_angle_alpha 90.00
_cell_angle_beta 100.30
_cell_angle_gamma 90.00
loop_
_space_group_symop_operation_xyz
'x,y,z'
'-x,-y,-z'
'-x,y,-z'
'x,-y,z'
'x+1/2,y+1/2,z'
'-x+1/2,-y+1/2,-z'
'-x+1/2,y+1/2,-z'
'x+1/2,-y+1/2,z'
loop_
_atom_site_label
_atom_site_fract_x
_atom_site_fract_y
_atom_site_fract_z
_atom_site_occupancy
Sc1 0.000 0.000 0.000 1
Re1 0.000 0.500 0.500 1
Hg1 0.247 0.000 0.741 1
```